Computed, not measured: a geometry-optimized CsCdTe3 structure at the PBE level of DFT.

Cell and atoms, written as POSCAR:
```
CsCdTe3
1.0
-0.833 -0.455 -5.716
4.999 -2.886 -0.499
-2.808 -5.003 0.808
Cs Te Cd
1 3 1
Direct
0.500 0.500 0.500
0.500 0.000 0.000
0.000 0.000 0.500
0.000 0.500 0.000
0.000 0.000 0.000
```

Results
- polymorph energy (0 for the lowest one) (meV/atom) = 0
- E_tot (eV/atom) = -2.4016
- size of the total moment (Bohr magnetons per cell) = 0.0
- formation energy without anion corrections (eV/atom) = -0.163

Computed, not measured: a geometry-optimized Cs3CdTe structure at the PBE level of DFT.

Cell and atoms, written as POSCAR:
```
Cs3CdTe
1.0
-5.749 -1.128 4.525
-2.044 -5.848 -4.054
4.192 -4.397 4.230
Cs Cd Te
3 1 1
Direct
0.500 0.000 0.000
0.000 0.000 0.500
0.000 0.500 0.000
0.500 0.500 0.500
0.000 0.000 0.000
```

Results
- polymorph energy (0 for the lowest one) (meV/atom) = 0
- E_tot (eV/atom) = -1.7706
- size of the total moment (Bohr magnetons per cell) = 0.0
- formation energy without anion corrections (eV/atom) = -0.447

Computed DOS(E_F), in the same sequence as the records: 1.550; 1.200 states/eV/atom.
Computed density, in the same sequence as the records: 5.36; 2.61 g cm⁻³.